6
Lattice="5.674 0.000 0.000 2.837 4.914 0.000 2.837 1.638 4.633" Properties=species:S:1:pos:R:3 comment="ThScTa4 (PBE-GGA, relaxed)" ef_ev_per_atom=0.12 final_energy_ev_per_atom=-10.07 magmom_total_mub_per_cell=0.000 pbc="T T T"
Sc 0.000 0.000 0.000
Th 2.837 1.638 1.158
Ta 5.674 3.276 0.577
Ta 5.674 1.636 2.896
Ta 7.094 4.096 2.896
Ta 4.254 4.096 2.896

4
Lattice="5.203 0.000 0.000 2.601 4.506 0.000 2.601 1.502 4.248" Properties=species:S:1:pos:R:3 comment="TmThScTa (PBE-GGA, relaxed)" ef_ev_per_atom=0.24 final_energy_ev_per_atom=-7.28 magmom_total_mub_per_cell=0.000 pbc="T T T"
Sc 7.804 4.506 3.186
Tm 0.000 0.000 0.000
Th 5.203 3.004 2.124
Ta 2.601 1.502 1.062

Taking the records one at a time from the top gives calculated volume values of 21.5; 24.9 Å³ per atom.